No. 1
5
Lattice="3.813 0.000 0.000 0.000 3.813 0.000 0.000 0.000 7.617" Properties=species:S:1:pos:R:3 comment="PBE NbTeIrN2, optimized geometry" relative_energy_ev_per_fu=1.13 e_form_raw_ev_per_fu=5.55 e_tot_ev_per_atom=-6.63 pbc="T T T"
Ir 0.000 0.000 0.000
Nb 1.907 1.907 3.809
Te 0.000 0.000 3.809
N 0.000 1.907 0.000
N 1.907 0.000 0.000

No. 2
18
Lattice="15.480 0.000 -0.016 7.740 7.774 -0.008 0.005 0.000 5.185" Properties=species:S:1:pos:R:3 comment="PBE Pr12SmHo5, optimized geometry" e_form_ev_per_fu=0.388 e_tot_ev_per_atom=-4.70 pbc="T T T"
Pr 2.565 0.000 2.590
Pr 5.209 0.000 5.178
Ho 15.482 2.601 2.577
Ho 7.742 5.172 2.585
Pr 5.199 2.589 2.587
Pr 10.285 2.589 2.582
Sm 0.000 0.000 0.000
Pr 12.939 5.185 2.579
Pr 5.187 5.177 -0.004
Ho 15.480 5.181 -0.016
Ho 7.742 0.000 2.585
Pr 10.276 0.000 -0.009
Pr 18.025 5.185 2.574
Pr 12.920 0.000 2.579
Ho 7.740 2.593 -0.008
Pr 18.037 2.597 5.166
Pr 10.297 5.177 5.174
Pr 12.927 2.597 -0.012

No. 3
8
Lattice="3.992 0.000 0.000 0.000 3.992 0.000 0.000 0.000 9.011" Properties=species:S:1:pos:R:3 comment="PBE PaCuSbN, optimized geometry" e_form_raw_ev_per_fu=-3.87 e_tot_ev_per_atom=-7.48 pbc="T T T"
Cu 0.000 0.000 0.000
Sb 1.996 0.000 1.709
Pa 0.000 1.996 3.338
N 1.996 1.996 4.505
Cu 1.996 1.996 0.000
N 0.000 0.000 4.505
Pa 1.996 0.000 5.673
Sb 0.000 1.996 7.302